BaVH | PBE-GGA | optimized geometry

a = 5.805 Å, b = 5.805 Å, c = 4.005 Å
α = 90.00°, β = 90.00°, γ = 90.00°
Last column: magnetic moment on the atom in μB.
Element x y z (fractional)
V1 0.000 0.500 0.000  2.74
V2 0.500 0.000 0.000  2.74
H1 0.000 0.500 0.500  -0.02
H2 0.500 0.000 0.500  -0.02
Ba1 0.500 0.500 0.500  0.12
Ba2 0.000 0.000 0.500  0.12

- energy above the lowest structure with this stoichiometry (meV per atom) = 223.9

YGe2Pt5 | PBE-GGA | optimized geometry

a = 3.893 Å, b = 6.467 Å, c = 6.467 Å
α = 68.17°, β = 72.48°, γ = 72.48°
Element x y z (fractional)
Pt1 0.359 0.844 0.439
Pt2 0.000 0.500 0.500
Pt3 0.641 0.156 0.561
Pt4 0.359 0.439 0.844
Pt5 0.641 0.561 0.156
Ge1 0.251 0.249 0.249
Ge2 0.749 0.751 0.751
Y1 0.000 0.000 0.000

- E (eV per atom) = -6.43